The following is a meta-GGA SCAN calculation of a PBEsol-optimized structure of FeAs4Se, from the Alexandria database.

Values from the calculation:
V: 18.85 A^3/atom
spin magnetization: 15.1 μB/cell
energy relative to the elements, uncorrected: 0.709 eV per atom

```
data_FeAs4Se
_symmetry_space_group_name_H-M 'F -4 3 m'
_symmetry_Int_Tables_number 216
_symmetry_space_group_name_Hall 'F -4 2 3'
_cell_length_a 7.677
_cell_length_b 7.677
_cell_length_c 7.677
_cell_angle_alpha 90.00
_cell_angle_beta 90.00
_cell_angle_gamma 90.00
loop_
_atom_site_label
_atom_site_type_symbol
_atom_site_fract_x
_atom_site_fract_y
_atom_site_fract_z
Fe1 Fe 0.000 0.000 0.000
As1 As 0.124 0.124 0.376
Se1 Se 0.250 0.250 0.750
```